! InClF3 (PBE, optimized geometry); values from VASP
! ΔE_f (raw) ... -1.64 eV per atom
! Energy ... -3.6763 eV/atom
! Fermi-level density of states ... 8.70 states/eV/cell
&SYSTEM
  ibrav = 0, nat = 5, ntyp = 3
/
ATOMIC_SPECIES
In 114.82 In.upf
Cl 35.45 Cl.upf
F 19.00 F.upf
CELL_PARAMETERS angstrom
4.266 0.000 0.000
0.000 4.266 0.000
0.000 0.000 4.266
ATOMIC_POSITIONS crystal
In 0.000 0.000 0.000
Cl 0.500 0.500 0.500
F 0.000 0.000 0.500
F 0.000 0.500 0.000
F 0.500 0.000 0.000

***

! InClF2 (PBE, optimized geometry); values from VASP
! ΔE_f (raw) ... -1.11 eV per atom
! Energy ... -3.1906 eV/atom
! Fermi-level density of states ... 3.36 states/eV/cell
&SYSTEM
  ibrav = 0, nat = 16, ntyp = 3
/
ATOMIC_SPECIES
In 114.82 In.upf
Cl 35.45 Cl.upf
F 19.00 F.upf
CELL_PARAMETERS angstrom
6.050 0.000 0.000
0.000 6.050 0.000
0.000 0.000 6.050
ATOMIC_POSITIONS crystal
In 0.000 0.000 0.000
In 0.000 0.500 0.500
In 0.500 0.000 0.500
In 0.500 0.500 0.000
Cl 0.000 0.000 0.500
Cl 0.000 0.500 0.000
Cl 0.500 0.000 0.000
Cl 0.500 0.500 0.500
F 0.250 0.250 0.250
F 0.250 0.250 0.750
F 0.250 0.750 0.250
F 0.250 0.750 0.750
F 0.750 0.250 0.250
F 0.750 0.250 0.750
F 0.750 0.750 0.250
F 0.750 0.750 0.750

***

! In2ClF (PBE, optimized geometry); values from VASP
! ΔE_f (raw) ... -1.07 eV per atom
! Energy ... -3.3658 eV/atom
&SYSTEM
  ibrav = 0, nat = 12, ntyp = 3
/
ATOMIC_SPECIES
In 114.82 In.upf
Cl 35.45 Cl.upf
F 19.00 F.upf
CELL_PARAMETERS angstrom
4.259 0.000 0.000
-2.130 3.689 0.000
0.000 0.000 25.935
ATOMIC_POSITIONS crystal
In 0.000 0.000 0.088
In 0.000 0.000 0.912
In 0.333 0.667 0.579
In 0.333 0.667 0.754
In 0.667 0.333 0.246
In 0.667 0.333 0.421
Cl 0.000 0.000 0.500
Cl 0.333 0.667 0.167
Cl 0.667 0.333 0.833
F 0.000 0.000 0.000
F 0.333 0.667 0.667
F 0.667 0.333 0.333

***

! KInClF (PBE, optimized geometry); values from VASP
! ΔE_f (raw) ... -1.59 eV per atom
! Energy ... -3.4768 eV/atom
! Fermi-level density of states ... 0.00 states/eV/cell
&SYSTEM
  ibrav = 0, nat = 16, ntyp = 4
/
ATOMIC_SPECIES
K 39.10 K.upf
In 114.82 In.upf
Cl 35.45 Cl.upf
F 19.00 F.upf
CELL_PARAMETERS angstrom
7.308 0.000 0.000
0.000 7.308 0.000
0.000 0.000 7.308
ATOMIC_POSITIONS crystal
K 0.000 0.000 0.000
K 0.000 0.500 0.500
K 0.500 0.000 0.500
K 0.500 0.500 0.000
In 0.000 0.000 0.500
In 0.000 0.500 0.000
In 0.500 0.000 0.000
In 0.500 0.500 0.500
Cl 0.250 0.250 0.750
Cl 0.250 0.750 0.250
Cl 0.750 0.250 0.250
Cl 0.750 0.750 0.750
F 0.250 0.250 0.250
F 0.250 0.750 0.750
F 0.750 0.250 0.750
F 0.750 0.750 0.250

***

! KInCl2F (PBE, optimized geometry); values from VASP
! ΔE_f (raw) ... -1.15 eV per atom
! Energy ... -3.0286 eV/atom
! Fermi-level density of states ... 0.86 states/eV/cell
&SYSTEM
  ibrav = 0, nat = 5, ntyp = 4
/
ATOMIC_SPECIES
K 39.10 K.upf
In 114.82 In.upf
Cl 35.45 Cl.upf
F 19.00 F.upf
CELL_PARAMETERS angstrom
5.069 0.000 0.000
0.000 5.069 0.000
0.000 0.000 10.404
ATOMIC_POSITIONS crystal
K 0.000 0.000 0.000
In 0.000 0.000 0.500
Cl 0.000 0.500 0.500
Cl 0.500 0.000 0.500
F 0.500 0.500 0.000

***

! KInClF (PBE, optimized geometry); values from VASP
! ΔE_f (raw) ... -1.73 eV per atom
! Energy ... -3.6188 eV/atom
! Fermi-level density of states ... 0.00 states/eV/cell
&SYSTEM
  ibrav = 0, nat = 8, ntyp = 4
/
ATOMIC_SPECIES
K 39.10 K.upf
In 114.82 In.upf
Cl 35.45 Cl.upf
F 19.00 F.upf
CELL_PARAMETERS angstrom
2.540 1.467 10.880
-2.540 1.467 10.880
0.000 -2.933 10.880
ATOMIC_POSITIONS crystal
K 0.128 0.128 0.128
K 0.872 0.872 0.872
In 0.279 0.279 0.279
In 0.721 0.721 0.721
Cl 0.412 0.412 0.412
Cl 0.588 0.588 0.588
F 0.207 0.207 0.207
F 0.793 0.793 0.793

***

! KInClF2 (PBE, optimized geometry); values from VASP
! ΔE_f (raw) ... -2.02 eV per atom
! Energy ... -3.9066 eV/atom
! Fermi-level density of states ... 0.68 states/eV/cell
&SYSTEM
  ibrav = 0, nat = 5, ntyp = 4
/
ATOMIC_SPECIES
K 39.10 K.upf
In 114.82 In.upf
Cl 35.45 Cl.upf
F 19.00 F.upf
CELL_PARAMETERS angstrom
4.549 0.000 0.000
0.000 4.549 0.000
0.000 0.000 5.602
ATOMIC_POSITIONS crystal
K 0.000 0.000 0.000
In 0.500 0.500 0.500
Cl 0.500 0.500 0.000
F 0.000 0.500 0.500
F 0.500 0.000 0.500

***

! KInCl2F (PBE, optimized geometry); values from VASP
! ΔE_f (raw) ... -1.68 eV per atom
! Energy ... -3.5642 eV/atom
! Fermi-level density of states ... 1.16 states/eV/cell
&SYSTEM
  ibrav = 0, nat = 5, ntyp = 4
/
ATOMIC_SPECIES
K 39.10 K.upf
In 114.82 In.upf
Cl 35.45 Cl.upf
F 19.00 F.upf
CELL_PARAMETERS angstrom
5.504 0.000 0.000
0.000 5.504 0.000
0.000 0.000 4.489
ATOMIC_POSITIONS crystal
K 0.000 0.000 0.000
In 0.500 0.500 0.500
Cl 0.000 0.500 0.500
Cl 0.500 0.000 0.500
F 0.500 0.500 0.000

***

! KIn2ClF2 (PBE, optimized geometry); values from VASP
! ΔE_f (raw) ... -1.69 eV per atom
! Energy ... -3.7192 eV/atom
&SYSTEM
  ibrav = 0, nat = 12, ntyp = 4
/
ATOMIC_SPECIES
K 39.10 K.upf
In 114.82 In.upf
Cl 35.45 Cl.upf
F 19.00 F.upf
CELL_PARAMETERS angstrom
7.231 0.000 0.000
0.000 6.515 0.000
-1.072 0.000 7.584
ATOMIC_POSITIONS crystal
K 0.237 0.250 0.427
K 0.763 0.750 0.573
In 0.247 0.506 0.933
In 0.247 0.994 0.933
In 0.753 0.006 0.067
In 0.753 0.494 0.067
Cl 0.331 0.750 0.620
Cl 0.669 0.250 0.380
F 0.014 0.250 0.124
F 0.137 0.250 0.735
F 0.863 0.750 0.265
F 0.986 0.750 0.876

***

! LaInCl2F (PBE, optimized geometry); values from VASP
! ΔE_f (raw) ... -1.39 eV per atom
! Energy ... -4.0374 eV/atom
! Fermi-level density of states ... 0.94 states/eV/cell
&SYSTEM
  ibrav = 0, nat = 5, ntyp = 4
/
ATOMIC_SPECIES
La 138.91 La.upf
In 114.82 In.upf
Cl 35.45 Cl.upf
F 19.00 F.upf
CELL_PARAMETERS angstrom
5.367 0.000 0.000
0.000 5.367 0.000
0.000 0.000 7.009
ATOMIC_POSITIONS crystal
La 0.000 0.000 0.000
In 0.000 0.000 0.500
Cl 0.000 0.500 0.000
Cl 0.500 0.000 0.000
F 0.500 0.500 0.500

***

! MgInClF2 (PBE, optimized geometry); values from VASP
! ΔE_f (raw) ... -2.24 eV per atom
! Energy ... -4.2201 eV/atom
! Fermi-level density of states ... 0.00 states/eV/cell
&SYSTEM
  ibrav = 0, nat = 5, ntyp = 4
/
ATOMIC_SPECIES
Mg 24.30 Mg.upf
In 114.82 In.upf
Cl 35.45 Cl.upf
F 19.00 F.upf
CELL_PARAMETERS angstrom
4.175 0.000 0.000
0.000 4.175 0.000
0.000 0.000 5.174
ATOMIC_POSITIONS crystal
Mg 0.000 0.000 0.000
In 0.500 0.500 0.500
Cl 0.000 0.000 0.500
F 0.000 0.500 0.000
F 0.500 0.000 0.000

***

- Which of these has the highest ΔE_f (raw)?
  In2ClF

***

- energy of number 11 (MgInClF2)?
  -4.2201 eV/atom

***

- What is the energy in the fifth record?
  -3.0286 eV/atom

***

- Which of these has the highest energy?
  number 5